No. 1
## AlCd2Mo2 (PBE)

Data for a relaxed AlCd2Mo2 crystal. Values from VASP.

```
&SYSTEM
  ibrav = 0, nat = 5, ntyp = 3
/
ATOMIC_SPECIES
Al 26.98 Al.upf
Cd 112.41 Cd.upf
Mo 95.94 Mo.upf
CELL_PARAMETERS angstrom
-1.8239 1.8239 7.5278
1.8239 -1.8239 7.5278
1.8239 1.8239 -7.5278
ATOMIC_POSITIONS crystal
Al 0.0000 0.0000 0.0000
Cd 0.4036 0.4036 0.0000
Cd 0.5964 0.5964 0.0000
Mo 0.2500 0.7500 0.5000
Mo 0.7500 0.2500 0.5000
```

Properties
calculated total energy: -24.0 eV per formula unit
DOS at the Fermi energy: 0.769 states/eV per atom
DFT formation energy: 0.645 eV/atom
distance to the lowest polymorph of the same formula: 0.000 eV/atom
space-group type: No. 139



No. 2
## AlCd2Mo (PBE)

Data for a relaxed AlCd2Mo crystal. Values from VASP.

```
&SYSTEM
  ibrav = 0, nat = 4, ntyp = 3
/
ATOMIC_SPECIES
Al 26.98 Al.upf
Cd 112.41 Cd.upf
Mo 95.94 Mo.upf
CELL_PARAMETERS angstrom
0.0000 3.3091 3.3091
3.3091 0.0000 3.3091
3.3091 3.3091 0.0000
ATOMIC_POSITIONS crystal
Al 0.0000 0.0000 0.0000
Cd 0.5000 0.5000 0.5000
Cd 0.7500 0.7500 0.7500
Mo 0.2500 0.2500 0.2500
```

Properties
calculated total energy: -14.6 eV per formula unit
DOS at the Fermi energy: 0.895 states/eV per atom
DFT formation energy: 0.446 eV/atom
space-group type: No. 216



No. 3
## AlCd2Mo (PBE)

Data for a relaxed AlCd2Mo crystal. Values from VASP.

```
&SYSTEM
  ibrav = 0, nat = 4, ntyp = 3
/
ATOMIC_SPECIES
Al 26.98 Al.upf
Cd 112.41 Cd.upf
Mo 95.94 Mo.upf
CELL_PARAMETERS angstrom
3.9974 0.0000 0.0000
0.0000 3.9974 0.0000
0.0000 0.0000 4.4638
ATOMIC_POSITIONS crystal
Al 0.0000 0.0000 0.0000
Cd 0.0000 0.5000 0.5000
Cd 0.5000 0.0000 0.5000
Mo 0.5000 0.5000 0.0000
```

Properties
calculated total energy: -15.5 eV per formula unit
DOS at the Fermi energy: 0.616 states/eV per atom
DFT formation energy: 0.224 eV/atom
space-group type: No. 123



No. 4
## AlCd2Mo (PBE)

Data for a relaxed AlCd2Mo crystal. Values from VASP.

```
&SYSTEM
  ibrav = 0, nat = 4, ntyp = 3
/
ATOMIC_SPECIES
Al 26.98 Al.upf
Cd 112.41 Cd.upf
Mo 95.94 Mo.upf
CELL_PARAMETERS angstrom
2.7902 -4.5000 0.0000
2.7902 4.5000 0.0000
0.0000 0.0000 2.9140
ATOMIC_POSITIONS crystal
Al 0.0000 0.0000 0.0000
Cd 0.0000 0.5000 0.5000
Cd 0.5000 0.0000 0.5000
Mo 0.5000 0.5000 0.0000
```

Properties
calculated total energy: -15.3 eV per formula unit
DOS at the Fermi energy: 0.667 states/eV per atom
DFT formation energy: 0.286 eV/atom
space-group type: No. 65